No. 1
Below is crystalline ScGa3Ir at its relaxed geometry, with properties calculated at the PBE level.

The structure in CIF format:
```
data_ScGa3Ir
_chemical_formula_sum 'Sc2 Ga6 Ir2'
_symmetry_space_group_name_H-M 'P m m n'
_symmetry_Int_Tables_number 59
_cell_length_a 4.3397
_cell_length_b 6.1860
_cell_length_c 6.5886
_cell_angle_alpha 90.00
_cell_angle_beta 90.00
_cell_angle_gamma 90.00
loop_
_symmetry_equiv_pos_as_xyz
'x,y,z'
'-x,-y,-z'
'-x+1/2,-y+1/2,z'
'x+1/2,y+1/2,-z'
'x+1/2,-y,-z'
'-x+1/2,y,z'
'-x,y+1/2,-z'
'x,-y+1/2,z'
loop_
_atom_site_label
_atom_site_fract_x
_atom_site_fract_y
_atom_site_fract_z
_atom_site_occupancy
Sc1 0.2500 0.2500 0.2004 1
Ga1 0.2500 0.0379 0.7970 1
Ga2 0.2500 0.7500 0.4731 1
Ir1 0.2500 0.7500 0.0926 1
```

Values from the calculation:
* D(E_F): 2.6 states/eV/f.u.
* E above lowest polymorph: 170 meV/atom
* magnetization: 0.0 μB/f.u.
* formation energy: -0.4770 eV/atom


No. 2
Below is crystalline Dy6BiSb3As2 at its relaxed geometry, with properties calculated at the PBE level.

The structure in CIF format:
```
data_Dy6BiSb3As2
_chemical_formula_sum 'Dy12 Bi2 Sb6 As4'
_symmetry_space_group_name_H-M 'C 1 2/m 1'
_symmetry_Int_Tables_number 12
_symmetry_space_group_name_Hall '-C 2y'
_cell_length_a 18.7830
_cell_length_b 4.2989
_cell_length_c 8.6505
_cell_angle_alpha 90.00
_cell_angle_beta 103.20
_cell_angle_gamma 90.00
loop_
_atom_site_label
_atom_site_fract_x
_atom_site_fract_y
_atom_site_fract_z
_atom_site_occupancy
Dy1 0.0072 0.0000 0.2586 1
Dy2 0.1712 0.5000 0.0986 1
Dy3 0.1713 0.5000 0.5744 1
Bi1 0.0000 0.5000 0.0000 1
Sb1 0.0000 0.5000 0.5000 1
Sb2 0.1631 0.0000 0.8318 1
As1 0.1685 0.0000 0.3358 1
```

Values from the calculation:
* uncorrected formation energy: -1.1967 eV/atom
* D(E_F): 1.8 states/eV/f.u.
* magnetization: 0.0 μB/f.u.


No. 3
Below is crystalline Cu2ReSb at its relaxed geometry, with properties calculated at the PBE level.

The structure in CIF format:
```
data_Cu2ReSb
_chemical_formula_sum 'Cu2 Re1 Sb1'
_symmetry_space_group_name_H-M 'P 4/m m m'
_symmetry_Int_Tables_number 123
_symmetry_space_group_name_Hall '-P 4 2'
_cell_length_a 3.9286
_cell_length_b 3.9286
_cell_length_c 3.9048
_cell_angle_alpha 90.00
_cell_angle_beta 90.00
_cell_angle_gamma 90.00
loop_
_atom_site_label
_atom_site_fract_x
_atom_site_fract_y
_atom_site_fract_z
_atom_site_occupancy
Cu1 0.0000 0.5000 0.0000 1
Re1 0.0000 0.0000 0.5000 1
Sb1 0.5000 0.5000 0.5000 1
```

Values from the calculation:
* uncorrected formation energy: 0.4512 eV/atom
* D(E_F): 3.0 states/eV/f.u.
* magnetization: 0.0 μB/f.u.


No. 4
Below is crystalline Ac6Sb2Te3P at its relaxed geometry, with properties calculated at the PBE level.

The structure in CIF format:
```
data_Ac6Sb2Te3P
_chemical_formula_sum 'Ac12 Sb4 Te6 P2'
_symmetry_space_group_name_H-M 'C 1 2/m 1'
_symmetry_Int_Tables_number 12
_symmetry_space_group_name_Hall '-C 2y'
_cell_length_a 20.6272
_cell_length_b 4.6822
_cell_length_c 9.4882
_cell_angle_alpha 90.00
_cell_angle_beta 103.85
_cell_angle_gamma 90.00
loop_
_atom_site_label
_atom_site_fract_x
_atom_site_fract_y
_atom_site_fract_z
_atom_site_occupancy
Ac1 0.0004 0.0000 0.2224 1
Ac2 0.1541 0.5000 0.0810 1
Ac3 0.1674 0.5000 0.5784 1
Sb1 0.1663 0.0000 0.3325 1
Te1 0.0000 0.5000 0.5000 1
Te2 0.1702 0.0000 0.8354 1
P1 0.0000 0.5000 0.0000 1
```

Values from the calculation:
* uncorrected formation energy: -1.4469 eV/atom
* D(E_F): 5.0 states/eV/f.u.
* magnetization: 0.0 μB/f.u.


No. 5
Below is crystalline Ti6Nb2Rh at its relaxed geometry, with properties calculated at the PBE level.

The structure in CIF format:
```
data_Ti6Nb2Rh
_chemical_formula_sum 'Ti12 Nb4 Rh2'
_symmetry_space_group_name_H-M 'C 1 2/m 1'
_symmetry_Int_Tables_number 12
_symmetry_space_group_name_Hall '-C 2y'
_cell_length_a 13.6612
_cell_length_b 6.1497
_cell_length_c 4.4105
_cell_angle_alpha 90.00
_cell_angle_beta 108.74
_cell_angle_gamma 90.00
loop_
_atom_site_label
_atom_site_fract_x
_atom_site_fract_y
_atom_site_fract_z
_atom_site_occupancy
Ti1 0.0000 0.2489 0.0000 1
Ti2 0.1609 0.2507 0.6605 1
Nb1 0.1672 0.5000 0.1670 1
Rh1 0.0000 0.0000 0.5000 1
```

Values from the calculation:
* D(E_F): 9.1 states/eV/f.u.
* magnetization: 0.0 μB/f.u.
* formation energy: 0.3825 eV/atom


No. 6
Below is crystalline TbCo3P3 at its relaxed geometry, with properties calculated at the PBE level.

The structure in CIF format:
```
data_TbCo3P3
_chemical_formula_sum 'Tb6 Co18 P18'
_symmetry_space_group_name_H-M 'R -3'
_symmetry_Int_Tables_number 148
_symmetry_space_group_name_Hall '-R 3'
_cell_length_a 6.3543
_cell_length_b 6.3543
_cell_length_c 19.2316
_cell_angle_alpha 90.00
_cell_angle_beta 90.00
_cell_angle_gamma 120.00
loop_
_atom_site_label
_atom_site_fract_x
_atom_site_fract_y
_atom_site_fract_z
_atom_site_occupancy
Tb1 0.0000 0.0000 0.1668 1
Co1 0.0048 0.3470 0.3760 1
P1 0.0039 0.3168 0.5950 1
```

Values from the calculation:
* D(E_F): 5.5 states/eV/f.u.
* magnetization: 0.0 μB/f.u.
* formation energy: -0.7526 eV/atom


- magnetization of number 1 (ScGa3Ir)?
  0.0 μB/f.u.


- Look up the D(E_F) of the third one.
  3.0 states/eV/f.u.


- Number 1 is which compound?
  ScGa3Ir